Arrangement 1

SiOsBr2: relaxed, PBE.

Unit cell a=4.5530 b=5.4880 c=3.4616 alpha=75.69 beta=80.54 gamma=111.28
Sites, in units of the cell vectors:
Os 0.0000 0.5000 0.5000
Br 0.0000 0.0000 0.0000
Si 0.5000 0.5000 0.0000
Br 0.5000 0.0000 0.5000

Arrangement 2

SiOsBr2: relaxed, PBE.

Unit cell a=3.2944 b=3.2944 c=9.7394 alpha=90.00 beta=90.00 gamma=121.78
Sites, in units of the cell vectors:
Br 0.5000 0.5000 0.3204
Br 0.0000 0.0000 0.9208
Si 0.5000 0.5000 0.7145
Os 0.0000 0.0000 0.5443

Arrangement 3

SiOsBr2: relaxed, PBE.

Unit cell a=6.5486 b=6.5486 c=6.5486 alpha=151.86 beta=138.34 gamma=51.04
Sites, in units of the cell vectors:
Br 0.6892 0.1892 0.5000
Si 0.3403 0.8403 0.5000
Os 0.4861 0.4861 0.0000
Br 0.9845 0.9845 0.0000

Most stable of them? arrangement 2.

Arrangement 1

SiOsBr2: relaxed, PBE.

Unit cell a=4.7020 b=4.7020 c=4.7020 alpha=60.00 beta=60.00 gamma=60.00
Sites, in units of the cell vectors:
Os 0.5000 0.5000 0.5000
Si 0.0000 0.0000 0.0000
Br 0.2500 0.2500 0.2500
Br 0.7500 0.7500 0.7500

Arrangement 2

SiOsBr2: relaxed, PBE.

Unit cell a=9.2342 b=9.2342 c=6.9300 alpha=48.22 beta=48.22 gamma=90.00
Sites, in units of the cell vectors:
Br 0.3750 0.2354 0.7500
Br 0.7646 0.1250 0.2500
Si 0.2500 0.7500 0.5000
Os 0.0000 0.0000 0.0000
Br 0.8750 0.0146 0.7500
Si 0.5000 0.5000 0.0000
Os 0.7500 0.2500 0.5000
Br 0.9854 0.6250 0.2500

Most stable of them? arrangement 2.

Arrangement 1

Si2OsBr: relaxed, PBE.

Unit cell a=2.9266 b=4.5767 c=4.7405 alpha=90.00 beta=90.00 gamma=90.00
Sites, in units of the cell vectors:
Si 0.5000 0.5000 0.0000
Si 0.0000 0.0000 0.0000
Os 0.0000 0.5000 0.5000
Br 0.5000 0.0000 0.5000

Arrangement 2

Si2OsBr: relaxed, PBE.

Unit cell a=10.1561 b=10.1561 c=10.1561 alpha=16.61 beta=16.61 gamma=16.61
Sites, in units of the cell vectors:
Os 0.7338 0.7338 0.7338
Si 0.2714 0.2714 0.2714
Br 0.4829 0.4829 0.4829
Si 0.0118 0.0118 0.0118

Arrangement 3

Si2OsBr: relaxed, PBE.

Unit cell a=7.7442 b=7.7442 c=7.7442 alpha=24.22 beta=24.22 gamma=24.22
Sites, in units of the cell vectors:
Os 0.7500 0.7500 0.7500
Si 0.0124 0.0124 0.0124
Si 0.4876 0.4876 0.4876
Br 0.2500 0.2500 0.2500

Arrangement 4

Si2OsBr: relaxed, PBE.

Unit cell a=8.2218 b=8.2218 c=8.2218 alpha=159.59 beta=153.05 gamma=34.04
Sites, in units of the cell vectors:
Si 0.0854 0.0854 0.0000
Si 0.7365 0.2365 0.5000
Br 0.4700 0.4700 0.0000
Os 0.2080 0.7080 0.5000

Most stable of them? arrangement 3.

Arrangement 1

Si2OsBr: relaxed, PBE.

Unit cell a=3.0638 b=3.0676 c=7.2476 alpha=89.99 beta=90.00 gamma=90.00
Sites, in units of the cell vectors:
Si 0.0000 0.2503 0.5561
Si 0.0000 0.2497 0.9439
Os 0.5000 0.7500 0.7500
Br 0.5000 0.2500 0.2500

Arrangement 2

Si2OsBr: relaxed, PBE.

Unit cell a=4.5000 b=4.5000 c=8.6442 alpha=115.70 beta=115.70 gamma=41.55
Sites, in units of the cell vectors:
Si 0.6721 0.6721 0.8329
Si 0.0287 0.0287 0.0776
Br 0.5050 0.5050 0.5476
Os 0.2943 0.2943 0.0419

Most stable of them? arrangement 2.

Arrangement 1

Sn2OsBr: relaxed, PBE.

Unit cell a=6.4898 b=6.4898 c=7.8660 alpha=65.64 beta=65.64 gamma=90.00
Sites, in units of the cell vectors:
Os 0.7500 0.2500 0.5000
Sn 0.3750 0.2954 0.7500
Br 0.5000 0.5000 0.0000
Sn 0.7046 0.1250 0.2500
Sn 0.8750 0.9546 0.7500
Os 0.0000 0.0000 0.0000
Br 0.2500 0.7500 0.5000
Sn 0.0454 0.6250 0.2500

Arrangement 2

Sn2OsBr: relaxed, PBE.

Unit cell a=4.9996 b=4.9996 c=4.9996 alpha=60.00 beta=60.00 gamma=60.00
Sites, in units of the cell vectors:
Sn 0.2500 0.2500 0.2500
Os 0.5000 0.5000 0.5000
Sn 0.7500 0.7500 0.7500
Br 0.0000 0.0000 0.0000

Most stable of them? arrangement 1.

Arrangement 1

SnOs3Br: relaxed, PBE.

Unit cell a=4.9923 b=4.9923 c=4.9923 alpha=90.00 beta=90.00 gamma=90.00
Sites, in units of the cell vectors:
Os 0.5000 0.0000 0.0000
Sn 0.0000 0.0000 0.0000
Os 0.0000 0.0000 0.5000
Br 0.5000 0.5000 0.5000
Os 0.0000 0.5000 0.0000

Arrangement 2

SnOs3Br: relaxed, PBE.

Unit cell a=4.6217 b=4.6217 c=4.6217 alpha=90.00 beta=90.00 gamma=90.00
Sites, in units of the cell vectors:
Br 0.0000 0.0000 0.0000
Os 0.0000 0.5000 0.0000
Os 0.0000 0.0000 0.5000
Sn 0.5000 0.5000 0.5000
Os 0.5000 0.0000 0.0000

Most stable of them? arrangement 2.

Arrangement 1

SnOs2Br: relaxed, PBE.

Unit cell a=4.5965 b=4.5965 c=4.5965 alpha=60.00 beta=60.00 gamma=60.00
Sites, in units of the cell vectors:
Br 0.0000 0.0000 0.0000
Os 0.2500 0.2500 0.2500
Os 0.7500 0.7500 0.7500
Sn 0.5000 0.5000 0.5000

Arrangement 2

SnOs2Br: relaxed, PBE.

Unit cell a=5.7015 b=5.7015 c=7.1287 alpha=66.43 beta=66.43 gamma=90.00
Sites, in units of the cell vectors:
Br 0.5000 0.5000 0.0000
Sn 0.0000 0.0000 0.0000
Os 0.3750 0.4127 0.7500
Os 0.5873 0.1250 0.2500
Sn 0.7500 0.2500 0.5000
Os 0.8750 0.8373 0.7500
Br 0.2500 0.7500 0.5000
Os 0.1627 0.6250 0.2500

Most stable of them? arrangement 1.

Arrangement 1

Sn3OsBr: relaxed, PBE.

Unit cell a=5.1661 b=5.1661 c=5.1661 alpha=90.00 beta=90.00 gamma=90.00
Sites, in units of the cell vectors:
Br 0.5000 0.5000 0.5000
Sn 0.0000 0.0000 0.5000
Sn 0.5000 0.0000 0.0000
Sn 0.0000 0.5000 0.0000
Os 0.0000 0.0000 0.0000

Arrangement 2

Sn3OsBr: relaxed, PBE.

Unit cell a=5.4139 b=5.4139 c=5.4139 alpha=90.00 beta=90.00 gamma=90.00
Sites, in units of the cell vectors:
Os 0.5000 0.5000 0.5000
Sn 0.5000 0.0000 0.0000
Sn 0.0000 0.5000 0.0000
Br 0.0000 0.0000 0.0000
Sn 0.0000 0.0000 0.5000

Most stable of them? arrangement 1.